(1)
The following is a DFT calculation (PBE) of a relaxed La2Sm2Dy4Ho crystal.

Lattice parameters (Å, degrees): 18.862 3.640 9.658 90.00 115.70 90.00
Space group C2/m (No. 12)
Inequivalent atoms, fractional coordinates:
La 0.165 0.000 0.000
Sm 0.147 0.500 0.663
Dy 0.020 0.000 0.333
Dy 0.185 0.500 0.337
Ho 0.000 0.500 0.000

Results
ρ in g cm⁻³: 7.75
VASP energy in eV per atom: -4.693

(2)
The following is a DFT calculation (PBE) of a relaxed La2SmDyHo5 crystal.

Lattice parameters (Å, degrees): 8.611 8.611 15.870 90.00 90.00 90.00
Space group I4/mcm (No. 140)
Inequivalent atoms, fractional coordinates:
La 0.118 0.382 0.000
Sm 0.000 0.500 0.250
Dy 0.000 0.000 0.250
Ho 0.000 0.000 0.000
Ho 0.215 0.285 0.358

Results
ρ in g cm⁻³: 7.99
VASP energy in eV per atom: -4.420

(3)
The following is a DFT calculation (PBE) of a relaxed La3SmDyHo crystal.

Lattice parameters (Å, degrees): 10.961 3.663 10.971 90.00 109.63 90.00
Space group P2_1/m (No. 11)
Inequivalent atoms, fractional coordinates:
La 0.041 0.250 0.370
La 0.292 0.750 0.625
La 0.454 0.750 0.123
Sm 0.373 0.250 0.372
Dy 0.205 0.250 0.880
Ho 0.122 0.750 0.120

Results
ρ in g cm⁻³: 7.16
VASP energy in eV per atom: -4.757

(4)
The following is a DFT calculation (PBE) of a relaxed LaSmDy2Ho4 crystal.

Lattice parameters (Å, degrees): 7.156 10.038 7.167 90.00 90.10 90.00
Space group P2/m (No. 10)
Inequivalent atoms, fractional coordinates:
La 0.000 0.000 0.000
La 0.000 0.000 0.500
Sm 0.000 0.500 0.000
Sm 0.500 0.000 0.000
Dy 0.000 0.500 0.500
Dy 0.500 0.000 0.500
Dy 0.500 0.500 0.000
Dy 0.500 0.500 0.500
Ho 0.253 0.253 0.251
Ho 0.253 0.253 0.749

Results
ρ in g cm⁻³: 8.22
VASP energy in eV per atom: -4.624

(5)
The following is a DFT calculation (PBE) of a relaxed La2SmDy3Ho6 crystal.

Lattice parameters (Å, degrees): 6.201 10.738 11.808 90.00 100.06 90.00
Space group C2/m (No. 12)
Inequivalent atoms, fractional coordinates:
La 0.000 0.167 0.000
Sm 0.000 0.500 0.000
Dy 0.000 0.000 0.500
Dy 0.000 0.334 0.500
Ho 0.247 0.500 0.745
Ho 0.248 0.166 0.745

Results
ρ in g cm⁻³: 8.17
VASP energy in eV per atom: -4.632

(6)
The following is a DFT calculation (PBE) of a relaxed LaSm5Dy2Ho crystal.

Lattice parameters (Å, degrees): 9.259 9.259 14.462 90.00 90.00 90.00
Space group I4/mcm (No. 140)
Inequivalent atoms, fractional coordinates:
La 0.000 0.000 0.250
Sm 0.000 0.000 0.000
Sm 0.203 0.297 0.130
Dy 0.110 0.390 0.500
Ho 0.000 0.500 0.250

Results
ρ in g cm⁻³: 7.40
VASP energy in eV per atom: -4.412

(7)
The following is a DFT calculation (PBE) of a relaxed LaSm6Dy2Ho3 crystal.

Lattice parameters (Å, degrees): 6.240 10.806 11.917 90.00 100.05 90.00
Space group C2/m (No. 12)
Inequivalent atoms, fractional coordinates:
La 0.000 0.000 0.000
Sm 0.248 0.333 0.747
Sm 0.250 0.000 0.747
Dy 0.000 0.333 0.000
Ho 0.000 0.167 0.500
Ho 0.000 0.500 0.500

Results
ρ in g cm⁻³: 7.81
VASP energy in eV per atom: -4.663

(8)
The following is a DFT calculation (PBE) of a relaxed LaSm6Dy2Ho crystal.

Lattice parameters (Å, degrees): 9.270 15.212 9.663 90.00 96.64 90.00
Space group C2/c (No. 15)
Inequivalent atoms, fractional coordinates:
La 0.000 0.029 0.250
Sm 0.064 0.183 0.944
Sm 0.097 0.391 0.118
Sm 0.214 0.226 0.317
Dy 0.248 0.449 0.451
Ho 0.000 0.410 0.750

Results
ρ in g cm⁻³: 7.51
VASP energy in eV per atom: -4.585

(9)
The following is a DFT calculation (PBE) of a relaxed La2Sm2DyHo2 crystal.

Lattice parameters (Å, degrees): 11.437 5.126 8.121 90.00 98.17 90.00
Space group C2/m (No. 12)
Inequivalent atoms, fractional coordinates:
La 0.142 0.000 0.425
Sm 0.215 0.500 0.139
Dy 0.000 0.000 0.000
Ho 0.070 0.500 0.717

Results
ρ in g cm⁻³: 7.55
VASP energy in eV per atom: -4.694

(10)
The following is a DFT calculation (PBE) of a relaxed LaSmDy5Ho2 crystal.

Lattice parameters (Å, degrees): 8.976 8.976 14.795 90.00 90.00 90.00
Space group I4/mcm (No. 140)
Inequivalent atoms, fractional coordinates:
La 0.000 0.000 0.250
Sm 0.000 0.500 0.250
Dy 0.000 0.000 0.000
Dy 0.203 0.297 0.130
Ho 0.113 0.387 0.500

Results
ρ in g cm⁻³: 7.98
VASP energy in eV per atom: -4.365

(11)
The following is a DFT calculation (PBE) of a relaxed La4SmDyHo2 crystal.

Lattice parameters (Å, degrees): 5.218 5.253 10.023 90.00 90.00 90.00
Space group Pmmm (No. 47)
Inequivalent atoms, fractional coordinates:
La 0.000 0.000 0.249
La 0.500 0.500 0.249
Sm 0.000 0.500 0.500
Dy 0.500 0.000 0.000
Ho 0.000 0.500 0.000
Ho 0.500 0.000 0.500

Results
ρ in g cm⁻³: 7.24
VASP energy in eV per atom: -4.754

(12)
The following is a DFT calculation (PBE) of a relaxed La2Sm6DyHo3 crystal.

Lattice parameters (Å, degrees): 6.267 10.859 11.987 90.00 100.07 90.00
Space group C2/m (No. 12)
Inequivalent atoms, fractional coordinates:
La 0.000 0.167 0.000
Sm 0.247 0.500 0.745
Sm 0.249 0.166 0.745
Dy 0.000 0.500 0.000
Ho 0.000 0.000 0.500
Ho 0.000 0.334 0.500

Results
ρ in g cm⁻³: 7.60
VASP energy in eV per atom: -4.688